Below is crystalline VAsI2O at its relaxed geometry, with properties calculated at the PBE with a Hubbard U level.

Values from the calculation:
* E above lowest polymorph: 0.000 eV/atom
* E_tot: -20.3 eV for the cell shown
* M_tot: 0.187 μB/atom

The structure in extended XYZ format:
```
5
Lattice="5.730 0.000 0.000 0.000 5.730 0.000 0.000 0.000 3.677" Properties=species:S:1:pos:R:3 pbc="T T T"
I 2.865 0.000 0.000
O 0.000 0.000 1.838
V 0.000 0.000 0.000
As 2.865 2.865 1.838
I 0.000 2.865 0.000
```